(1)
ZnCdIn2 at its PBEsol-relaxed geometry, computed with SCAN.

Cell and atoms, written as CIF:
```
data_ZnCdIn2
_cell_length_a 4.544
_cell_length_b 4.544
_cell_length_c 8.362
_cell_angle_alpha 90.00
_cell_angle_beta 90.00
_cell_angle_gamma 90.00
_symmetry_space_group_name_H-M 'I 4/m m m'
_symmetry_Int_Tables_number 139
_symmetry_space_group_name_Hall '-I 4 2'
loop_
_atom_site_label
_atom_site_fract_x
_atom_site_fract_y
_atom_site_fract_z
Zn1 0.000 0.000 0.000
Cd1 0.000 0.000 0.500
In1 0.000 0.500 0.250
```

VASP energy	-27.53	eV per atom
volume	172.62	Å³ per cell
excess energy over the best structure of this formula in the dataset	0.066	eV per atom
ΔH_f (0 K)	0.147	eV per atom
DOS at the Fermi energy	3.104	states/eV/cell



(2)
Ba2Y at its PBEsol-relaxed geometry, computed with SCAN.

Cell and atoms, written as CIF:
```
data_Ba2Y
_cell_length_a 6.402
_cell_length_b 6.402
_cell_length_c 3.891
_cell_angle_alpha 90.00
_cell_angle_beta 90.00
_cell_angle_gamma 90.00
_symmetry_space_group_name_H-M 'P 4/m m m'
_symmetry_Int_Tables_number 123
_symmetry_space_group_name_Hall '-P 4 2'
loop_
_atom_site_label
_atom_site_fract_x
_atom_site_fract_y
_atom_site_fract_z
Ba1 0.000 0.500 0.000
Y1 0.000 0.000 0.500
```

VASP energy	-35.17	eV per atom
volume	159.49	Å³ per cell
excess energy over the best structure of this formula in the dataset	0.214	eV per atom
ΔH_f (0 K)	0.483	eV per atom
DOS at the Fermi energy	5.197	states/eV/cell



(3)
SiAsP at its PBEsol-relaxed geometry, computed with SCAN.

Cell and atoms, written as CIF:
```
data_SiAsP
_cell_length_a 3.318
_cell_length_b 3.318
_cell_length_c 9.442
_cell_angle_alpha 90.00
_cell_angle_beta 90.00
_cell_angle_gamma 90.00
_symmetry_space_group_name_H-M 'I 4 m m'
_symmetry_Int_Tables_number 107
_symmetry_space_group_name_Hall 'I 4 -2'
loop_
_atom_site_label
_atom_site_fract_x
_atom_site_fract_y
_atom_site_fract_z
Si1 0.000 0.000 0.000
As1 0.000 0.000 0.658
P1 0.000 0.000 0.408
```

VASP energy	-13.05	eV per atom
ΔE_f (raw)	489.8	meV per atom
volume	103.92	Å³ per cell
DOS at the Fermi energy	1.611	states/eV/cell



(4)
KGaSi at its PBEsol-relaxed geometry, computed with SCAN.

Cell and atoms, written as CIF:
```
data_KGaSi
_cell_length_a 4.1394
_cell_length_b 4.1394
_cell_length_c 10.7070
_cell_angle_alpha 90.00
_cell_angle_beta 90.00
_cell_angle_gamma 120.00
_symmetry_space_group_name_H-M 'P 63/m m c'
_symmetry_Int_Tables_number 194
_symmetry_space_group_name_Hall '-P 6c 2c'
loop_
_atom_site_label
_atom_site_fract_x
_atom_site_fract_y
_atom_site_fract_z
K1 0.0000 0.0000 0.0000
Ga1 0.3333 0.6667 0.2500
Si1 0.3333 0.6667 0.7500
```

VASP energy	-11.73	eV per atom
ΔE_f (raw)	-169.1	meV per atom
volume	158.88	Å³ per cell



(5)
Mg2TlAs2 at its PBEsol-relaxed geometry, computed with SCAN.

Cell and atoms, written as CIF:
```
data_Mg2TlAs2
_cell_length_a 4.529
_cell_length_b 4.529
_cell_length_c 11.332
_cell_angle_alpha 90.00
_cell_angle_beta 90.00
_cell_angle_gamma 90.00
_symmetry_space_group_name_H-M 'I 4/m m m'
_symmetry_Int_Tables_number 139
_symmetry_space_group_name_Hall '-I 4 2'
loop_
_atom_site_label
_atom_site_fract_x
_atom_site_fract_y
_atom_site_fract_z
Mg1 0.000 0.500 0.250
Tl1 0.000 0.000 0.000
As1 0.000 0.000 0.379
```

VASP energy	-24.89	eV per atom
volume	232.43	Å³ per cell
excess energy over the best structure of this formula in the dataset	0.000	eV per atom
ΔH_f (0 K)	-0.352	eV per atom
DOS at the Fermi energy	4.825	states/eV/cell



(6)
CoMoIr2 at its PBEsol-relaxed geometry, computed with SCAN.

Cell and atoms, written as CIF:
```
data_CoMoIr2
_cell_length_a 3.749
_cell_length_b 3.749
_cell_length_c 7.590
_cell_angle_alpha 90.00
_cell_angle_beta 90.00
_cell_angle_gamma 90.00
_symmetry_space_group_name_H-M 'I -4 m 2'
_symmetry_Int_Tables_number 119
_symmetry_space_group_name_Hall 'I -4 -2'
loop_
_atom_site_label
_atom_site_fract_x
_atom_site_fract_y
_atom_site_fract_z
Co1 0.000 0.000 0.000
Mo1 0.000 0.500 0.250
Ir1 0.000 0.000 0.500
Ir2 0.000 0.500 0.750
```

VASP energy	-48.71	eV per atom
volume	106.69	Å³ per cell
excess energy over the best structure of this formula in the dataset	0.148	eV per atom
ΔH_f (0 K)	-0.113	eV per atom
DOS at the Fermi energy	8.025	states/eV/cell